Density functional theory data (PBE) for a relaxed ZnCoSbTe2 crystal.

abc: 5.3092 5.3092 5.0639
angles: 90.00 90.00 90.00
Last column: magnetic moment on the atom in μB.
Element x y z (fractional)
Zn  0.0000  0.0000  0.0000  0.00
Te  0.5000  0.0000  0.0000  0.03
Sb  0.0000  0.0000  0.5000  -0.05
Te  0.0000  0.5000  0.0000  0.03
Co  0.5000  0.5000  0.5000  2.11

Summary:
* energy relative to the lowest polymorph listed for this composition: 0.623 eV/atom
* energy relative to the elements, uncorrected: 100 kJ per mole of atoms
* calculated density: 5.83 g cm⁻³